[1]
# HoTh3Te4 PBE relaxed
data_HoTh3Te4
_cell_length_a 9.295
_cell_length_b 12.543
_cell_length_c 4.233
_cell_angle_alpha 90.00
_cell_angle_beta 90.00
_cell_angle_gamma 90.00
_space_group_name_H-M_alt 'C m m m'
_space_group_IT_number 65
_space_group_name_Hall '-C 2 2'
loop_
_atom_site_label
_atom_site_fract_x
_atom_site_fract_y
_atom_site_fract_z
Ho1 0.000 0.000 0.000
Th1 0.000 0.500 0.000
Th2 0.250 0.250 0.500
Te1 0.000 0.244 0.000
Te2 0.240 0.000 0.500
# ρ: 9.23 Mg/m³
# E_form (uncorrected): -1.0620 eV per atom

=====

[2]
# HoTh4Te5 PBE relaxed
data_HoTh4Te5
_cell_length_a 3.843
_cell_length_b 3.843
_cell_length_c 19.138
_cell_angle_alpha 90.00
_cell_angle_beta 90.00
_cell_angle_gamma 90.00
_space_group_name_H-M_alt 'P 4/m m m'
_space_group_IT_number 123
_space_group_name_Hall '-P 4 2'
loop_
_atom_site_label
_atom_site_fract_x
_atom_site_fract_y
_atom_site_fract_z
Ho1 0.000 0.000 0.000
Th1 0.000 0.000 0.197
Th2 0.000 0.000 0.399
Te1 0.500 0.500 0.098
Te2 0.500 0.500 0.298
Te3 0.500 0.500 0.500
# ρ: 10.17 Mg/m³
# E_form (uncorrected): -1.0972 eV per atom

=====

[3]
# HoTh3Te6 PBE relaxed
data_HoTh3Te6
_cell_length_a 12.234
_cell_length_b 14.957
_cell_length_c 7.559
_cell_angle_alpha 90.00
_cell_angle_beta 90.00
_cell_angle_gamma 90.00
_space_group_name_H-M_alt 'C m c 21'
_space_group_IT_number 36
loop_
_space_group_symop_operation_xyz
'x,y,z'
'-x,-y,z+1/2'
'-x,y,z'
'x,-y,z+1/2'
'x+1/2,y+1/2,z'
'-x+1/2,-y+1/2,z+1/2'
'-x+1/2,y+1/2,z'
'x+1/2,-y+1/2,z+1/2'
loop_
_atom_site_label
_atom_site_fract_x
_atom_site_fract_y
_atom_site_fract_z
Ho1 0.000 0.158 0.000
Th1 0.000 0.399 0.367
Th2 0.169 0.101 0.484
Te1 0.000 0.001 0.738
Te2 0.000 0.243 0.646
Te3 0.164 0.465 0.674
Te4 0.171 0.263 0.195
# ρ: 7.81 Mg/m³
# E_form (uncorrected): -1.1235 eV per atom

=====

[4]
# Ho2ThTe PBE relaxed
data_Ho2ThTe
_cell_length_a 3.8279
_cell_length_b 3.8279
_cell_length_c 29.7332
_cell_angle_alpha 90.00
_cell_angle_beta 90.00
_cell_angle_gamma 120.00
_space_group_name_H-M_alt 'R 3 m'
_space_group_IT_number 160
_space_group_name_Hall 'R 3 -2"'
loop_
_atom_site_label
_atom_site_fract_x
_atom_site_fract_y
_atom_site_fract_z
Ho1 0.0000 0.0000 0.0000
Ho2 0.0000 0.0000 0.1911
Th1 0.0000 0.0000 0.7624
Te1 0.0000 0.0000 0.5955
# ρ: 9.10 Mg/m³
# Energy above the lowest structure with this stoichiometry: 0.092 eV per atom
# E_form (uncorrected): -0.4656 eV per atom

=====

[5]
# Ho2ThTl3Te6 PBE relaxed
data_Ho2ThTl3Te6
_cell_length_a 7.649
_cell_length_b 13.248
_cell_length_c 8.704
_cell_angle_alpha 90.00
_cell_angle_beta 107.04
_cell_angle_gamma 90.00
_space_group_name_H-M_alt 'C 1 2/m 1'
_space_group_IT_number 12
loop_
_space_group_symop_operation_xyz
'x,y,z'
'-x,-y,-z'
'-x,y,-z'
'x,-y,z'
'x+1/2,y+1/2,z'
'-x+1/2,-y+1/2,-z'
'-x+1/2,y+1/2,-z'
'x+1/2,-y+1/2,z'
loop_
_atom_site_label
_atom_site_fract_x
_atom_site_fract_y
_atom_site_fract_z
Ho1 0.000 0.167 0.000
Th1 0.000 0.500 0.000
Tl1 0.000 0.000 0.500
Tl2 0.000 0.335 0.500
Te1 0.234 0.000 0.216
Te2 0.242 0.331 0.217
# ρ: 7.64 Mg/m³
# E_form (uncorrected): -0.9640 eV per atom

=====

[6]
# HoTh3Tl3Te8 PBE relaxed
data_HoTh3Tl3Te8
_cell_length_a 8.7923
_cell_length_b 8.7923
_cell_length_c 25.5335
_cell_angle_alpha 90.00
_cell_angle_beta 90.00
_cell_angle_gamma 120.00
_space_group_name_H-M_alt 'R -3 m'
_space_group_IT_number 166
_space_group_name_Hall '-R 3 2"'
loop_
_atom_site_label
_atom_site_fract_x
_atom_site_fract_y
_atom_site_fract_z
Ho1 0.0000 0.0000 0.0000
Th1 0.0000 0.5000 0.0000
Tl1 0.0000 0.5000 0.5000
Te1 0.0000 0.0000 0.2579
Te2 0.0053 0.5027 0.7392
# ρ: 7.27 Mg/m³
# E_form (uncorrected): -0.9546 eV per atom

=====

[7]
# Ho2Tm3ThTe6 PBE relaxed
data_Ho2Tm3ThTe6
_cell_length_a 19.404
_cell_length_b 4.236
_cell_length_c 8.905
_cell_angle_alpha 90.00
_cell_angle_beta 107.52
_cell_angle_gamma 90.00
_space_group_name_H-M_alt 'C 1 2/m 1'
_space_group_IT_number 12
loop_
_space_group_symop_operation_xyz
'x,y,z'
'-x,-y,-z'
'-x,y,-z'
'x,-y,z'
'x+1/2,y+1/2,z'
'-x+1/2,-y+1/2,-z'
'-x+1/2,y+1/2,-z'
'x+1/2,-y+1/2,z'
loop_
_atom_site_label
_atom_site_fract_x
_atom_site_fract_y
_atom_site_fract_z
Ho1 0.155 0.000 0.305
Tm1 0.000 0.500 0.500
Tm2 0.161 0.000 0.818
Th1 0.000 0.500 0.000
Te1 0.002 0.000 0.737
Te2 0.171 0.500 0.573
Te3 0.174 0.500 0.070
# ρ: 8.73 Mg/m³
# E_form (uncorrected): -1.1642 eV per atom

=====

[8]
# HoTmTh2Te5 PBE relaxed
data_HoTmTh2Te5
_cell_length_a 5.380
_cell_length_b 5.380
_cell_length_c 11.505
_cell_angle_alpha 90.00
_cell_angle_beta 90.00
_cell_angle_gamma 90.00
_space_group_name_H-M_alt 'P 4/m m m'
_space_group_IT_number 123
_space_group_name_Hall '-P 4 2'
loop_
_atom_site_label
_atom_site_fract_x
_atom_site_fract_y
_atom_site_fract_z
Ho1 0.000 0.000 0.000
Tm1 0.000 0.000 0.500
Th1 0.500 0.500 0.336
Te1 0.000 0.000 0.247
Te2 0.000 0.500 0.500
Te3 0.500 0.500 0.000
# ρ: 7.16 Mg/m³
# E_form (uncorrected): -0.5361 eV per atom

=====

[9]
# Ho3Tm2ThTe6 PBE relaxed
data_Ho3Tm2ThTe6
_cell_length_a 19.296
_cell_length_b 4.278
_cell_length_c 8.834
_cell_angle_alpha 90.00
_cell_angle_beta 106.26
_cell_angle_gamma 90.00
_space_group_name_H-M_alt 'C 1 2/m 1'
_space_group_IT_number 12
loop_
_space_group_symop_operation_xyz
'x,y,z'
'-x,-y,-z'
'-x,y,-z'
'x,-y,z'
'x+1/2,y+1/2,z'
'-x+1/2,-y+1/2,-z'
'-x+1/2,y+1/2,-z'
'x+1/2,-y+1/2,z'
loop_
_atom_site_label
_atom_site_fract_x
_atom_site_fract_y
_atom_site_fract_z
Ho1 0.000 0.000 0.000
Ho2 0.159 0.500 0.322
Tm1 0.158 0.500 0.812
Th1 0.000 0.000 0.500
Te1 0.001 0.500 0.762
Te2 0.172 0.000 0.073
Te3 0.174 0.000 0.578
# ρ: 8.68 Mg/m³
# E_form (uncorrected): -1.1752 eV per atom

=====

[10]
# Y2Ho3ThTe6 PBE relaxed
data_Y2Ho3ThTe6
_cell_length_a 19.283
_cell_length_b 4.322
_cell_length_c 8.831
_cell_angle_alpha 90.00
_cell_angle_beta 105.38
_cell_angle_gamma 90.00
_space_group_name_H-M_alt 'C 1 2/m 1'
_space_group_IT_number 12
loop_
_space_group_symop_operation_xyz
'x,y,z'
'-x,-y,-z'
'-x,y,-z'
'x,-y,z'
'x+1/2,y+1/2,z'
'-x+1/2,-y+1/2,-z'
'-x+1/2,y+1/2,-z'
'x+1/2,-y+1/2,z'
loop_
_atom_site_label
_atom_site_fract_x
_atom_site_fract_y
_atom_site_fract_z
Y1 0.159 0.000 0.316
Ho1 0.000 0.500 0.500
Ho2 0.162 0.000 0.827
Th1 0.000 0.500 0.000
Te1 0.002 0.000 0.739
Te2 0.170 0.500 0.579
Te3 0.173 0.500 0.077
# ρ: 7.82 Mg/m³
# E_form (uncorrected): -1.2216 eV per atom

=====

[11]
# HoTi3Te6 PBE relaxed
data_HoTi3Te6
_cell_length_a 11.658
_cell_length_b 3.996
_cell_length_c 12.016
_cell_angle_alpha 90.00
_cell_angle_beta 109.36
_cell_angle_gamma 90.00
_space_group_name_H-M_alt 'P 1 21/m 1'
_space_group_IT_number 11
loop_
_space_group_symop_operation_xyz
'x,y,z'
'-x,-y,-z'
'-x,y+1/2,-z'
'x,-y+1/2,z'
loop_
_atom_site_label
_atom_site_fract_x
_atom_site_fract_y
_atom_site_fract_z
Ho1 0.055 0.250 0.201
Ti1 0.134 0.250 0.575
Ti2 0.317 0.750 0.989
Ti3 0.446 0.250 0.361
Te1 0.094 0.750 0.406
Te2 0.125 0.250 0.970
Te3 0.198 0.750 0.745
Te4 0.281 0.750 0.223
Te5 0.378 0.250 0.563
Te6 0.481 0.250 0.118
# ρ: 6.75 Mg/m³
# E_form (uncorrected): -0.7853 eV per atom

=====

[12]
# Ho8TlTe2 PBE relaxed
data_Ho8TlTe2
_cell_length_a 8.528
_cell_length_b 13.715
_cell_length_c 5.863
_cell_angle_alpha 90.00
_cell_angle_beta 105.01
_cell_angle_gamma 90.00
_space_group_name_H-M_alt 'C 1 2/m 1'
_space_group_IT_number 12
loop_
_space_group_symop_operation_xyz
'x,y,z'
'-x,-y,-z'
'-x,y,-z'
'x,-y,z'
'x+1/2,y+1/2,z'
'-x+1/2,-y+1/2,-z'
'-x+1/2,y+1/2,-z'
'x+1/2,-y+1/2,z'
loop_
_atom_site_label
_atom_site_fract_x
_atom_site_fract_y
_atom_site_fract_z
Ho1 0.000 0.241 0.000
Ho2 0.102 0.500 0.801
Ho3 0.201 0.116 0.638
Tl1 0.000 0.000 0.000
Te1 0.000 0.306 0.500
# ρ: 8.92 Mg/m³
# E_form (uncorrected): -0.3691 eV per atom

=====

[13]
# Ho6TlTe3 PBE relaxed
data_Ho6TlTe3
_cell_length_a 12.104
_cell_length_b 4.008
_cell_length_c 12.734
_cell_angle_alpha 90.00
_cell_angle_beta 103.73
_cell_angle_gamma 90.00
_space_group_name_H-M_alt 'P 1 21/m 1'
_space_group_IT_number 11
loop_
_space_group_symop_operation_xyz
'x,y,z'
'-x,-y,-z'
'-x,y+1/2,-z'
'x,-y+1/2,z'
loop_
_atom_site_label
_atom_site_fract_x
_atom_site_fract_y
_atom_site_fract_z
Ho1 0.014 0.250 0.350
Ho2 0.081 0.250 0.884
Ho3 0.249 0.750 0.297
Ho4 0.286 0.750 0.756
Ho5 0.379 0.250 0.533
Ho6 0.444 0.750 0.118
Tl1 0.461 0.250 0.311
Te1 0.113 0.250 0.136
Te2 0.170 0.750 0.512
Te3 0.336 0.250 0.946
# ρ: 8.73 Mg/m³
# E_form (uncorrected): -0.7677 eV per atom

=====

[14]
# Ho6TlTe8 PBE relaxed
data_Ho6TlTe8
_cell_length_a 11.6399
_cell_length_b 11.6399
_cell_length_c 4.4130
_cell_angle_alpha 90.00
_cell_angle_beta 90.00
_cell_angle_gamma 120.00
_space_group_name_H-M_alt 'P -3'
_space_group_IT_number 147
loop_
_space_group_symop_operation_xyz
'x,y,z'
'-x,-y,-z'
'-y,x-y,z'
'y,-x+y,-z'
'-x+y,-x,z'
'x-y,x,-z'
loop_
_atom_site_label
_atom_site_fract_x
_atom_site_fract_y
_atom_site_fract_z
Ho1 0.1355 0.6498 0.2493
Tl1 0.0000 0.0000 0.0000
Te1 0.0449 0.3502 0.2499
Te2 0.3333 0.6667 0.7491
# ρ: 7.10 Mg/m³
# E_form (uncorrected): -1.2217 eV per atom

=====

[15]
# Ho4Tl2Te PBE relaxed
data_Ho4Tl2Te
_cell_length_a 6.614
_cell_length_b 6.565
_cell_length_c 10.024
_cell_angle_alpha 90.00
_cell_angle_beta 106.72
_cell_angle_gamma 90.00
_space_group_name_H-M_alt 'P 1 21/m 1'
_space_group_IT_number 11
loop_
_space_group_symop_operation_xyz
'x,y,z'
'-x,-y,-z'
'-x,y+1/2,-z'
'x,-y+1/2,z'
loop_
_atom_site_label
_atom_site_fract_x
_atom_site_fract_y
_atom_site_fract_z
Ho1 0.025 0.002 0.270
Ho2 0.409 0.250 0.553
Ho3 0.471 0.250 0.164
Tl1 0.106 0.750 0.014
Tl2 0.190 0.750 0.544
Te1 0.382 0.250 0.849
# ρ: 9.53 Mg/m³
# E_form (uncorrected): -0.4393 eV per atom

=====

[16]
# HoTlTe PBE relaxed
data_HoTlTe
_cell_length_a 4.6742
_cell_length_b 4.6742
_cell_length_c 32.9892
_cell_angle_alpha 90.00
_cell_angle_beta 90.00
_cell_angle_gamma 120.00
_space_group_name_H-M_alt 'R -3 m'
_space_group_IT_number 166
_space_group_name_Hall '-R 3 2"'
loop_
_atom_site_label
_atom_site_fract_x
_atom_site_fract_y
_atom_site_fract_z
Ho1 0.0000 0.0000 0.0714
Tl1 0.0000 0.0000 0.3518
Te1 0.0000 0.0000 0.2206
# ρ: 7.93 Mg/m³
# E_form (uncorrected): -0.6267 eV per atom

=====

[17]
# Ho6TlTe PBE relaxed
data_Ho6TlTe
_cell_length_a 6.124
_cell_length_b 6.126
_cell_length_c 6.127
_cell_angle_alpha 89.94
_cell_angle_beta 89.89
_cell_angle_gamma 89.95
_space_group_name_H-M_alt 'P -1'
_space_group_IT_number 2
loop_
_space_group_symop_operation_xyz
'x,y,z'
'-x,-y,-z'
loop_
_atom_site_label
_atom_site_fract_x
_atom_site_fract_y
_atom_site_fract_z
Ho1 0.000 0.002 0.247
Ho2 0.247 0.500 0.500
Ho3 0.500 0.254 0.999
Tl1 0.000 0.500 0.000
Te1 0.500 0.000 0.500
# ρ: 9.55 Mg/m³
# E_form (uncorrected): -0.2560 eV per atom

=====

[18]
# Ho6Tl5Te PBE relaxed
data_Ho6Tl5Te
_cell_length_a 5.146
_cell_length_b 15.375
_cell_length_c 8.228
_cell_angle_alpha 90.00
_cell_angle_beta 90.25
_cell_angle_gamma 90.00
_space_group_name_H-M_alt 'C 1 2/m 1'
_space_group_IT_number 12
loop_
_space_group_symop_operation_xyz
'x,y,z'
'-x,-y,-z'
'-x,y,-z'
'x,-y,z'
'x+1/2,y+1/2,z'
'-x+1/2,-y+1/2,-z'
'-x+1/2,y+1/2,-z'
'x+1/2,-y+1/2,z'
loop_
_atom_site_label
_atom_site_fract_x
_atom_site_fract_y
_atom_site_fract_z
Ho1 0.001 0.000 0.255
Ho2 0.001 0.337 0.248
Tl1 0.000 0.167 0.000
Tl2 0.000 0.176 0.500
Tl3 0.000 0.500 0.000
Te1 0.000 0.500 0.500
# ρ: 10.91 Mg/m³
# E_form (uncorrected): -0.4125 eV per atom

=====

[19]
# Ho4TlTe PBE relaxed
data_Ho4TlTe
_cell_length_a 7.352
_cell_length_b 4.640
_cell_length_c 20.862
_cell_angle_alpha 90.00
_cell_angle_beta 90.00
_cell_angle_gamma 90.00
_space_group_name_H-M_alt 'P n m a'
_space_group_IT_number 62
loop_
_space_group_symop_operation_xyz
'x,y,z'
'-x,-y,-z'
'-x+1/2,-y,z+1/2'
'x+1/2,y,-z+1/2'
'x+1/2,-y+1/2,-z+1/2'
'-x+1/2,y+1/2,z+1/2'
'-x,y+1/2,-z'
'x,-y+1/2,z'
loop_
_atom_site_label
_atom_site_fract_x
_atom_site_fract_y
_atom_site_fract_z
Ho1 0.051 0.250 0.077
Ho2 0.069 0.250 0.359
Ho3 0.088 0.250 0.783
Ho4 0.139 0.250 0.528
Tl1 0.215 0.250 0.928
Te1 0.202 0.250 0.215
# ρ: 9.26 Mg/m³
# Energy above the lowest structure with this stoichiometry: 0.028 eV per atom
# E_form (uncorrected): -0.4917 eV per atom

=====

[20]
# Ho7TlTe2 PBE relaxed
data_Ho7TlTe2
_cell_length_a 8.803
_cell_length_b 14.727
_cell_length_c 5.439
_cell_angle_alpha 90.00
_cell_angle_beta 90.00
_cell_angle_gamma 90.00
_space_group_name_H-M_alt 'C m m m'
_space_group_IT_number 65
_space_group_name_Hall '-C 2 2'
loop_
_atom_site_label
_atom_site_fract_x
_atom_site_fract_y
_atom_site_fract_z
Ho1 0.000 0.000 0.000
Ho2 0.000 0.271 0.500
Ho3 0.184 0.381 0.000
Tl1 0.000 0.500 0.500
Te1 0.000 0.201 0.000
# ρ: 7.60 Mg/m³
# E_form (uncorrected): -0.0656 eV per atom